(1)
NaTe2Pb2: optimized geometry, PBE.

Unit cell a=8.6134 b=8.6134 c=4.4467 alpha=90.00 beta=90.00 gamma=90.00
Atoms (fractional coordinates):
Pb  0.1414  0.6414  0.5000
Pb  0.6414  0.8586  0.5000
Pb  0.8586  0.3586  0.5000
Pb  0.3586  0.1414  0.5000
Na  0.0000  0.0000  0.0000
Na  0.5000  0.5000  0.0000
Te  0.3346  0.8346  0.0000
Te  0.8346  0.6654  0.0000
Te  0.6654  0.1654  0.0000
Te  0.1654  0.3346  0.0000

Summary:
For the density of states at the Fermi level, the calculation gives 0.572 states/eV per atom. As for the distance to the lowest polymorph of the same formula: 0 meV per atom. Its space-group type is P4/mbm, No. 127. The calculation puts the total moment at 0.00 μB/f.u. The value obtained for the total energy is -0.12326 Ha/atom.

(2)
Na3Te3Pb: optimized geometry, PBE.

Unit cell a=9.4921 b=9.4921 c=9.4921 alpha=90.00 beta=90.00 gamma=90.00
Atoms (fractional coordinates):
Na  0.8196  0.3196  0.1804
Na  0.9284  0.9284  0.9284
Na  0.8363  0.6637  0.3363
Na  0.1804  0.8196  0.3196
Na  0.1637  0.1637  0.1637
Na  0.3363  0.8363  0.6637
Na  0.0716  0.4284  0.5716
Na  0.3196  0.1804  0.8196
Na  0.6637  0.3363  0.8363
Na  0.6804  0.6804  0.6804
Na  0.5716  0.0716  0.4284
Na  0.4284  0.5716  0.0716
Te  0.7623  0.6249  0.0076
Te  0.8751  0.9924  0.2623
Te  0.0076  0.7623  0.6249
Te  0.1249  0.4924  0.2377
Te  0.2377  0.1249  0.4924
Te  0.2623  0.8751  0.9924
Te  0.9924  0.2623  0.8751
Te  0.3751  0.5076  0.7377
Te  0.4924  0.2377  0.1249
Te  0.6249  0.0076  0.7623
Te  0.7377  0.3751  0.5076
Te  0.5076  0.7377  0.3751
Pb  0.0956  0.5956  0.9044
Pb  0.9044  0.0956  0.5956
Pb  0.4044  0.4044  0.4044
Pb  0.5956  0.9044  0.0956

Summary:
For the density of states at the Fermi level, the calculation gives 0.961 states/eV per atom. As for the distance to the lowest polymorph of the same formula: 0 meV per atom. Its space-group type is P2_13, No. 198. The calculation puts the total moment at 0.00 μB/f.u. The value obtained for the total energy is -0.11281 Ha/atom.

Energy relative to the elements, uncorrected readings, ordered: -350 -628 meV per atom